[1]
This record from Alexandria via LeMat-Bulk describes crystalline CaMn2NbRe at its relaxed geometry. The functional is GGA-PBE.

The structure in CIF format:
```
data_CaMn2NbRe
_space_group_name_H-M_alt 'P 4/m m m'
_space_group_IT_number 123
_space_group_name_Hall '-P 4 2'
_cell_length_a 4.191
_cell_length_b 4.191
_cell_length_c 4.735
_cell_angle_alpha 90.00
_cell_angle_beta 90.00
_cell_angle_gamma 90.00
loop_
_atom_site_label
_atom_site_type_symbol
_atom_site_fract_x
_atom_site_fract_y
_atom_site_fract_z
Ca1 Ca 0.000 0.000 0.000
Mn1 Mn 0.000 0.500 0.000
Nb1 Nb 0.500 0.500 0.500
Re1 Re 0.000 0.000 0.500
```

=====

[2]
This record from Alexandria via LeMat-Bulk describes crystalline Ca2ScMnNb at its relaxed geometry. The functional is GGA-PBE.

The structure in CIF format:
```
data_Ca2ScMnNb
_space_group_name_H-M_alt 'P 4/m m m'
_space_group_IT_number 123
_space_group_name_Hall '-P 4 2'
_cell_length_a 5.486
_cell_length_b 5.486
_cell_length_c 4.460
_cell_angle_alpha 90.00
_cell_angle_beta 90.00
_cell_angle_gamma 90.00
loop_
_atom_site_label
_atom_site_type_symbol
_atom_site_fract_x
_atom_site_fract_y
_atom_site_fract_z
Ca1 Ca 0.000 0.500 0.000
Sc1 Sc 0.000 0.000 0.500
Mn1 Mn 0.500 0.500 0.000
Nb1 Nb 0.500 0.500 0.500
```

=====

[3]
This record from Alexandria via LeMat-Bulk describes crystalline Ca2ScMnNb at its relaxed geometry. The functional is GGA-PBE.

The structure in CIF format:
```
data_Ca2ScMnNb
_space_group_name_H-M_alt 'P 4/m m m'
_space_group_IT_number 123
_space_group_name_Hall '-P 4 2'
_cell_length_a 5.638
_cell_length_b 5.638
_cell_length_c 4.973
_cell_angle_alpha 90.00
_cell_angle_beta 90.00
_cell_angle_gamma 90.00
loop_
_atom_site_label
_atom_site_type_symbol
_atom_site_fract_x
_atom_site_fract_y
_atom_site_fract_z
Ca1 Ca 0.000 0.500 0.000
Sc1 Sc 0.000 0.000 0.500
Mn1 Mn 0.500 0.500 0.500
Nb1 Nb 0.000 0.000 0.000
```

=====

[4]
This record from Alexandria via LeMat-Bulk describes crystalline CaTiMn2Nb at its relaxed geometry. The functional is GGA-PBE.

The structure in CIF format:
```
data_CaTiMn2Nb
_space_group_name_H-M_alt 'P 4/m m m'
_space_group_IT_number 123
_space_group_name_Hall '-P 4 2'
_cell_length_a 4.299
_cell_length_b 4.299
_cell_length_c 4.461
_cell_angle_alpha 90.00
_cell_angle_beta 90.00
_cell_angle_gamma 90.00
loop_
_atom_site_label
_atom_site_type_symbol
_atom_site_fract_x
_atom_site_fract_y
_atom_site_fract_z
Ca1 Ca 0.000 0.000 0.000
Ti1 Ti 0.000 0.000 0.500
Mn1 Mn 0.000 0.500 0.000
Nb1 Nb 0.500 0.500 0.500
```

=====

[5]
This record from Alexandria via LeMat-Bulk describes crystalline CaNd2Mn at its relaxed geometry. The functional is GGA-PBE.

The structure in CIF format:
```
data_CaNd2Mn
_space_group_name_H-M_alt 'P 4/m m m'
_space_group_IT_number 123
_space_group_name_Hall '-P 4 2'
_cell_length_a 3.646
_cell_length_b 3.646
_cell_length_c 9.476
_cell_angle_alpha 90.00
_cell_angle_beta 90.00
_cell_angle_gamma 90.00
loop_
_atom_site_label
_atom_site_type_symbol
_atom_site_fract_x
_atom_site_fract_y
_atom_site_fract_z
Ca1 Ca 0.000 0.000 0.000
Nd1 Nd 0.500 0.500 0.313
Mn1 Mn 0.000 0.000 0.500
```

=====

Result set for DFT formation energy: 11.82, 3.76, 5.45, 10.12, 0.67 eV per formula unit, one per record in the order listed.
Result set for calculated volume: 16.63, 26.85, 31.62, 16.49, 31.50 Å³/atom, one per record in the order listed.
Result set for total DFT energy (no corrections): -0.2281, -0.1898, -0.1773, -0.2072, -0.1840 Ha/atom, one per record in the order listed.